[1]
The following is a PBE calculation of a relaxed YHo5Tm2 crystal, from the Alexandria database.

Computed properties:
Formation energy: 0.020 eV per atom
Offset from the most stable computed form: 19 meV per atom
Crystal system: orthorhombic
Symmetry: Pbam

Unit cell a=4.973 b=7.040 c=14.082 alpha=90.00 beta=90.00 gamma=90.00
Fractional positions:
Ho1 0.500 0.251 0.375
Ho2 0.000 0.500 0.500
Ho3 0.000 0.000 0.249
Tm1 0.500 0.250 0.625
Ho4 0.000 0.000 0.751
Ho5 0.000 0.500 0.251
Tm2 0.500 0.750 0.875
Y1 0.000 0.500 0.000
Ho6 0.000 0.500 0.749
Ho7 0.500 0.749 0.625
Ho8 0.500 0.249 0.875
Tm3 0.500 0.750 0.375
Y2 0.000 0.000 0.500
Ho9 0.500 0.751 0.125
Ho10 0.000 0.000 0.000
Tm4 0.500 0.250 0.125

[2]
The following is a PBE calculation of a relaxed ZnOsRu2 crystal, from the Alexandria database.

Computed properties:
Formation energy: 0.159 eV per atom
Crystal system: monoclinic
Symmetry: Cm

Unit cell a=4.733 b=4.733 c=4.647 alpha=79.59 beta=79.59 gamma=33.61
Fractional positions:
Ru1 0.741 0.741 0.726
Os1 0.258 0.258 0.227
Ru2 0.005 0.005 0.027
Zn1 0.496 0.496 0.520

[3]
The following is a PBE calculation of a relaxed Y2CdHg2 crystal, from the Alexandria database.

Computed properties:
Formation energy: -0.258 eV per atom
Offset from the most stable computed form: 168 meV per atom
Crystal system: tetragonal
Symmetry: P4/mbm

Unit cell a=8.510 b=8.510 c=3.789 alpha=90.00 beta=90.00 gamma=90.00
Fractional positions:
Hg1 0.359 0.141 0.500
Y1 0.157 0.343 0.000
Hg2 0.641 0.859 0.500
Y2 0.343 0.843 0.000
Cd1 0.000 0.000 0.000
Y3 0.843 0.657 0.000
Y4 0.657 0.157 0.000
Hg3 0.859 0.359 0.500
Cd2 0.500 0.500 0.000
Hg4 0.141 0.641 0.500

[4]
The following is a PBE calculation of a relaxed ZnNi2Se crystal, from the Alexandria database.

Computed properties:
Offset from the most stable computed form: 104 meV per atom
Crystal system: trigonal
Symmetry: R-3m

Unit cell a=7.581 b=7.581 c=7.581 alpha=22.35 beta=22.35 gamma=22.35
Fractional positions:
Ni1 0.502 0.502 0.502
Ni2 0.998 0.998 0.998
Se1 0.250 0.250 0.250
Zn1 0.750 0.750 0.750

[5]
The following is a PBE calculation of a relaxed Pa4Te2AsRu crystal, from the Alexandria database.

Computed properties:
E_tot: -7.9905 eV/atom
Crystal system: monoclinic
Symmetry: P2/m

Unit cell a=4.031 b=7.304 c=7.497 alpha=107.54 beta=90.00 gamma=90.00
Fractional positions:
Te1 0.500 0.000 0.500
As1 0.000 0.000 0.000
Pa1 0.000 0.276 0.793
Te2 0.000 0.500 0.500
Pa2 0.500 0.249 0.216
Pa3 0.500 0.751 0.784
Pa4 0.000 0.724 0.207
Ru1 0.500 0.500 0.000

[6]
The following is a PBE calculation of a relaxed KGe2P2 crystal, from the Alexandria database.

Computed properties:
Formation energy: -0.027 eV per atom
Crystal system: tetragonal
Symmetry: I4/mmm

Unit cell a=4.751 b=4.751 c=5.966 alpha=66.53 beta=66.53 gamma=90.00
Fractional positions:
P1 0.250 0.750 0.500
Ge1 0.344 0.344 0.312
K1 0.000 0.000 0.000
Ge2 0.656 0.656 0.688
P2 0.750 0.250 0.500

[7]
The following is a PBE calculation of a relaxed HfMg3Cd crystal, from the Alexandria database.

Computed properties:
Formation energy: 1.161 eV per atom
Offset from the most stable computed form: 439 meV per atom
Crystal system: cubic
Symmetry: Pm-3m

Unit cell a=5.661 b=5.661 c=5.661 alpha=90.00 beta=90.00 gamma=90.00
Last column: magnetic moment on the atom in μB.
Fractional positions:
Mg1 0.500 0.000 0.000  0.04
Mg2 0.000 0.000 0.500  0.00
Mg3 0.000 0.500 0.000  0.02
Hf1 0.000 0.000 0.000  0.85
Cd1 0.500 0.500 0.500  -0.01

[8]
The following is a PBE calculation of a relaxed ZrMnCl3 crystal, from the Alexandria database.

Computed properties:
Offset from the most stable computed form: 0 meV per atom
Crystal system: cubic
Symmetry: Pm-3m

Unit cell a=5.094 b=5.094 c=5.094 alpha=90.00 beta=90.00 gamma=90.00
Last column: magnetic moment on the atom in μB.
Fractional positions:
Mn1 0.500 0.500 0.500  4.62
Cl1 0.000 0.000 0.500  0.03
Zr1 0.000 0.000 0.000  -0.12
Cl2 0.500 0.000 0.000  0.02
Cl3 0.000 0.500 0.000  0.04

[9]
The following is a PBE calculation of a relaxed Mg3SnPb2 crystal, from the Alexandria database.

Computed properties:
Formation energy: -0.069 eV per atom
Crystal system: tetragonal
Symmetry: P4/mmm

Unit cell a=3.436 b=3.436 c=13.055 alpha=90.00 beta=90.00 gamma=90.00
Fractional positions:
Pb1 0.500 0.500 0.170
Sn1 0.500 0.500 0.500
Mg1 0.000 0.000 0.659
Mg2 0.000 0.000 0.000
Pb2 0.500 0.500 0.830
Mg3 0.000 0.000 0.341

[10]
The following is a PBE calculation of a relaxed HgTe2Rh crystal, from the Alexandria database.

Computed properties:
Offset from the most stable computed form: 491 meV per atom
Crystal system: trigonal
Symmetry: R-3m

Unit cell a=12.256 b=12.256 c=12.256 alpha=14.83 beta=14.83 gamma=14.83
Last column: magnetic moment on the atom in μB.
Fractional positions:
Te1 0.930 0.930 0.930  0.02
Rh1 0.000 0.000 0.000  0.41
Te2 0.070 0.070 0.070  0.02
Hg1 0.500 0.500 0.500  0.00

[11]
The following is a PBE calculation of a relaxed La5InTe4 crystal, from the Alexandria database.

Computed properties:
E_tot: -5.3702 eV/atom
Crystal system: tetragonal
Symmetry: I4/m

Unit cell a=6.492 b=7.971 c=7.971 alpha=80.45 beta=65.97 gamma=65.97
Fractional positions:
Te1 0.600 0.600 0.202
Te2 0.802 0.798 0.600
La1 0.100 0.603 0.199
La2 0.502 0.000 0.000
Te3 0.200 0.202 0.400
In1 0.002 0.000 0.000
La3 0.902 0.397 0.801
La4 0.703 0.199 0.397
La5 0.299 0.801 0.603
Te4 0.402 0.400 0.798

[12]
The following is a PBE calculation of a relaxed Mg4Rh crystal, from the Alexandria database.

Computed properties:
Formation energy: -0.285 eV per atom
Crystal system: tetragonal
Symmetry: I4/m

Unit cell a=5.677 b=5.677 c=5.677 alpha=94.67 beta=94.67 gamma=146.86
Fractional positions:
Rh1 0.000 0.000 0.000
Mg1 0.579 0.770 0.349
Mg2 0.421 0.230 0.651
Mg3 0.770 0.421 0.190
Mg4 0.230 0.579 0.810

[13]
The following is a PBE calculation of a relaxed TlFe2N2 crystal, from the Alexandria database.

Computed properties:
Offset from the most stable computed form: 0 meV per atom
Crystal system: tetragonal
Symmetry: I4/mmm

Unit cell a=3.337 b=3.337 c=6.553 alpha=75.25 beta=75.25 gamma=90.00
Fractional positions:
N1 0.750 0.250 0.500
N2 0.250 0.750 0.500
Fe1 0.318 0.318 0.364
Fe2 0.682 0.682 0.636
Tl1 0.000 0.000 0.000

[14]
The following is a PBE calculation of a relaxed Ce2GdIn crystal, from the Alexandria database.

Computed properties:
Formation energy: 0.189 eV per atom
Offset from the most stable computed form: 387 meV per atom
Crystal system: trigonal
Symmetry: R-3m

Unit cell a=3.360 b=3.360 c=12.546 alpha=82.30 beta=82.30 gamma=60.00
Last column: magnetic moment on the atom in μB.
Fractional positions:
Ce1 0.912 0.912 0.265  0.79
Ce2 0.088 0.088 0.735  0.79
Gd1 0.500 0.500 0.500  -7.12
In1 0.000 0.000 0.000  0.00

[15]
The following is a PBE calculation of a relaxed LiPF2 crystal, from the Alexandria database.

Computed properties:
Offset from the most stable computed form: 0 meV per atom
Crystal system: trigonal
Symmetry: R-3m

Unit cell a=6.358 b=6.358 c=6.358 alpha=26.16 beta=26.16 gamma=26.16
Fractional positions:
F1 0.894 0.894 0.894
P1 0.000 0.000 0.000
F2 0.106 0.106 0.106
Li1 0.500 0.500 0.500

[16]
The following is a PBE calculation of a relaxed Ca2BN2Cl crystal, from the Alexandria database.

Computed properties:
E_tot: -6.3966 eV/atom
Crystal system: orthorhombic
Symmetry: Pnma

Unit cell a=3.926 b=9.045 c=11.719 alpha=90.00 beta=90.00 gamma=90.00
Fractional positions:
N1 0.750 0.184 0.213
Ca1 0.250 0.447 0.670
Ca2 0.750 0.553 0.330
N2 0.750 0.316 0.713
Cl1 0.750 0.652 0.561
N3 0.250 0.816 0.787
N4 0.250 0.542 0.877
Cl2 0.250 0.348 0.439
N5 0.250 0.684 0.287
B1 0.750 0.181 0.666
Ca3 0.250 0.891 0.590
N6 0.750 0.042 0.623
Ca4 0.250 0.053 0.170
Ca5 0.750 0.391 0.910
B2 0.250 0.681 0.834
B3 0.250 0.819 0.334
Ca6 0.750 0.109 0.410
Cl3 0.750 0.848 0.061
Cl4 0.250 0.152 0.939
N7 0.750 0.458 0.123
B4 0.750 0.319 0.166
N8 0.250 0.958 0.377
Ca7 0.250 0.609 0.090
Ca8 0.750 0.947 0.830

[17]
The following is a PBE calculation of a relaxed DyNi2PH crystal, from the Alexandria database.

Computed properties:
E_tot: -5.8140 eV/atom
Crystal system: orthorhombic
Symmetry: Cmcm

Unit cell a=3.712 b=5.327 c=6.607 alpha=90.00 beta=90.00 gamma=110.39
Fractional positions:
Dy1 0.441 0.882 0.750
P1 0.276 0.552 0.250
Ni1 0.834 0.669 0.059
Ni2 0.166 0.331 0.559
P2 0.724 0.448 0.750
Ni3 0.834 0.669 0.441
H1 0.000 0.000 0.500
Dy2 0.559 0.118 0.250
H2 0.000 0.000 0.000
Ni4 0.166 0.331 0.941

[18]
The following is a PBE calculation of a relaxed Ca4BiIr crystal, from the Alexandria database.

Computed properties:
Formation energy: -0.545 eV per atom
Crystal system: monoclinic
Symmetry: C2/c

Unit cell a=6.277 b=8.458 c=8.458 alpha=112.82 beta=103.73 gamma=103.73
Fractional positions:
Ca1 0.673 0.213 0.339
Ca2 0.569 0.276 0.947
Ca3 0.327 0.787 0.661
Ir1 0.750 0.001 0.999
Ir2 0.250 0.999 0.001
Ca4 0.431 0.724 0.053
Bi1 0.250 0.364 0.636
Bi2 0.750 0.636 0.364
Ca5 0.931 0.053 0.724
Ca6 0.069 0.947 0.276
Ca7 0.173 0.339 0.213
Ca8 0.827 0.661 0.787

[19]
The following is a PBE calculation of a relaxed Cs2CuAsBr6 crystal, from the Alexandria database.

Computed properties:
E_tot: -2.9938 eV/atom
Crystal system: tetragonal
Symmetry: I4/mmm

Unit cell a=7.636 b=7.636 c=7.657 alpha=60.09 beta=60.09 gamma=90.00
Fractional positions:
Cs1 0.250 0.750 0.500
Cs2 0.750 0.250 0.500
Br1 0.750 0.750 0.500
Br2 0.250 0.250 0.500
Br3 0.252 0.252 0.000
Cu1 0.500 0.500 0.000
Br4 0.748 0.252 0.000
As1 0.000 0.000 0.000
Br5 0.252 0.748 0.000
Br6 0.748 0.748 0.000

[20]
The following is a PBE calculation of a relaxed Sm3Dy7Er crystal, from the Alexandria database.

Computed properties:
Formation energy: 0.144 eV per atom
Offset from the most stable computed form: 0 meV per atom
Crystal system: monoclinic
Symmetry: P2/m

Unit cell a=5.523 b=10.058 c=8.872 alpha=106.38 beta=128.50 gamma=89.99
Fractional positions:
Sm1 0.716 0.996 0.216
Dy1 0.141 0.289 0.641
Dy2 0.094 0.171 0.094
Dy3 0.317 0.637 0.816
Er1 0.500 0.500 0.500
Dy4 0.683 0.363 0.184
Dy5 0.500 0.000 0.500
Sm2 0.284 0.004 0.784
Dy6 0.859 0.711 0.359
Sm3 0.000 0.500 0.000
Dy7 0.906 0.829 0.906

[21]
The following is a PBE calculation of a relaxed HfSiH2Au crystal, from the Alexandria database.

Computed properties:
E_tot: -4.8450 eV/atom
Crystal system: tetragonal
Symmetry: P4/mmm

Unit cell a=3.680 b=5.324 c=3.680 alpha=90.00 beta=90.00 gamma=90.00
Fractional positions:
Au1 0.000 0.000 0.000
H1 0.000 0.000 0.500
Si1 0.000 0.500 0.000
Hf1 0.500 0.500 0.500
H2 0.500 0.000 0.000